Entry from the Open Quantum Materials Database: NaErCdSe3 after structural relaxation (PBE).

Calculated values
E_tot = -4.112 eV/atom

abc: 13.978 4.154 11.255
angles: 90.00 90.00 90.00
Space group Pnma (No. 62)
Symmetry-distinct sites (fractional):
1 Na 0.244 0.250 0.067 [4 per cell]
2 Er 0.023 0.250 0.348 [4 per cell]
3 Cd 0.016 0.750 0.100 [4 per cell]
4 Se 0.103 0.250 0.575 [4 per cell]
5 Se 0.105 0.750 0.877 [4 per cell]
6 Se 0.148 0.750 0.263 [4 per cell]